(1)
# MgAlAs2

A relaxed structure of MgAlAs2 (PBE, Alexandria via LeMat-Bulk).

Cell and atoms, written as POSCAR:
```
MgAlAs2
1.0
4.082 0.000 0.000
0.000 4.978 0.000
0.000 0.000 3.732
Al As Mg
1 2 1
Direct
0.000 0.500 0.500
0.000 0.000 0.000
0.500 0.500 0.000
0.500 0.000 0.500
```

crystal system: orthorhombic
total DFT energy (no corrections): -14.840 eV per cell
symmetry: Pmmm, No. 47
total magnetization: 0.0 Bohr magnetons per cell
formation energy from the elements: -51 meV per atom
relative energy among the computed polymorphs: 251 meV per atom

(2)
# MgAlAs2

A relaxed structure of MgAlAs2 (PBE, Alexandria via LeMat-Bulk).

Cell and atoms, written as POSCAR:
```
MgAlAs2
1.0
-0.953 -2.697 -0.541
1.601 -0.078 -2.429
7.304 -3.568 4.929
Al As Mg
1 2 1
Direct
0.500 0.500 0.747
0.000 0.000 0.951
0.500 0.500 0.296
0.000 0.000 0.506
```

crystal system: tetragonal
total DFT energy (no corrections): -14.357 eV per cell
symmetry: P4mm, No. 99
total magnetization: 0.0 Bohr magnetons per cell
formation energy from the elements: 70 meV per atom
relative energy among the computed polymorphs: 372 meV per atom

(3)
# MgAlAs2

A relaxed structure of MgAlAs2 (PBE, Alexandria via LeMat-Bulk).

Cell and atoms, written as POSCAR:
```
MgAlAs2
1.0
3.214 0.000 0.000
0.000 3.913 0.000
0.000 0.000 6.931
Al As Mg
1 2 1
Direct
0.500 0.500 0.804
0.000 0.000 0.931
0.500 0.500 0.449
0.000 0.000 0.316
```

crystal system: orthorhombic
total DFT energy (no corrections): -15.832 eV per cell
symmetry: Pmm2, No. 25
total magnetization: 0.0 Bohr magnetons per cell
formation energy from the elements: -299 meV per atom
relative energy among the computed polymorphs: 3 meV per atom

(4)
# MgAlAs2

A relaxed structure of MgAlAs2 (PBE, Alexandria via LeMat-Bulk).

Cell and atoms, written as POSCAR:
```
MgAlAs2
1.0
-0.091 2.493 2.050
-1.787 -1.746 2.045
6.004 -2.407 3.193
Al As Mg
1 2 1
Direct
0.500 0.500 0.750
0.000 0.000 0.990
0.000 0.000 0.510
0.500 0.500 0.250
```

crystal system: tetragonal
total DFT energy (no corrections): -14.795 eV per cell
symmetry: P4/mmm, No. 123
total magnetization: 0.0 Bohr magnetons per cell
formation energy from the elements: -40 meV per atom
relative energy among the computed polymorphs: 262 meV per atom

What is the formula in the first record? MgAlAs2